Here is an optimized crystal structure of CePm2NdDy6 from Alexandria. Energies are from PBE-GGA.

Values from the calculation:
Fermi-level density of states = 40.89 states/eV/cell
mass density = 7.8 g/cm3
E_form = 246 meV per atom

Unit cell a=11.4308 b=6.7227 c=9.0422 alpha=90.00 beta=107.50 gamma=90.00
Space group C2/m (No. 12)
Symmetry-distinct sites (fractional):
Ce (0.0000, 0.0000, 0.0000)
Pm (0.0880, 0.5000, 0.1686)
Nd (0.0000, 0.5000, 0.5000)
Dy (0.1309, 0.0000, 0.4182)
Dy (0.1736, 0.2580, 0.8051)